Record 1
Material: Nb2AsCl
Method: DFT, PBE-GGA
State: optimized geometry

Summary:
The value obtained for the excess energy over the best structure of this formula in the dataset is 8.54 kcal/mol of atoms.

Unit cell a=5.840 b=5.840 c=5.840 alpha=109.95 beta=109.95 gamma=108.51
Element x y z (fractional)
Nb  0.106  0.625  0.981
Nb  0.375  0.356  0.481
Nb  0.644  0.125  0.019
Nb  0.875  0.894  0.519
As  0.250  0.750  0.500
As  0.500  0.500  0.000
Cl  0.000  0.000  0.000
Cl  0.750  0.250  0.500

=====

Record 2
Material: Nb2AsCl
Method: DFT, PBE-GGA
State: optimized geometry

Summary:
The value obtained for the excess energy over the best structure of this formula in the dataset is 0.00 kcal/mol of atoms.

Unit cell a=4.555 b=4.555 c=4.555 alpha=60.00 beta=60.00 gamma=60.00
Element x y z (fractional)
Nb  0.250  0.250  0.250
Nb  0.750  0.750  0.750
As  0.000  0.000  0.000
Cl  0.500  0.500  0.500

=====

Record 3
Material: Nb3AsCl
Method: DFT, PBE-GGA
State: optimized geometry

Summary:
The value obtained for the excess energy over the best structure of this formula in the dataset is 0.00 kcal/mol of atoms.

Unit cell a=4.559 b=4.559 c=4.559 alpha=90.00 beta=90.00 gamma=90.00
Element x y z (fractional)
Nb  0.000  0.000  0.500
Nb  0.000  0.500  0.000
Nb  0.500  0.000  0.000
As  0.500  0.500  0.500
Cl  0.000  0.000  0.000

=====

Record 4
Material: NbAsCl3
Method: DFT, PBE-GGA
State: optimized geometry

Summary:
For the total energy, the calculation gives -3.470 eV per atom.

Unit cell a=5.092 b=5.092 c=5.092 alpha=90.00 beta=90.00 gamma=90.00
Element x y z (fractional)
Nb  0.000  0.000  0.000
As  0.500  0.500  0.500
Cl  0.000  0.500  0.500
Cl  0.500  0.000  0.500
Cl  0.500  0.500  0.000

=====

Record 5
Material: Nb2AsClO
Method: DFT, PBE-GGA
State: optimized geometry

Summary:
For the total energy, the calculation gives -5.714 eV per atom.

Unit cell a=5.055 b=5.055 c=3.902 alpha=90.00 beta=90.00 gamma=90.00
Element x y z (fractional)
Nb  0.000  0.500  0.000
Nb  0.500  0.000  0.000
As  0.000  0.000  0.000
Cl  0.500  0.500  0.500
O  0.000  0.000  0.500

=====

Record 6
Material: Nb2AsOsCl
Method: DFT, PBE-GGA
State: optimized geometry

Summary:
For the total energy, the calculation gives -6.657 eV per atom.

Unit cell a=5.031 b=5.031 c=4.610 alpha=90.00 beta=90.00 gamma=90.00
Element x y z (fractional)
Nb  0.000  0.500  0.000
Nb  0.500  0.000  0.000
As  0.000  0.000  0.500
Os  0.000  0.000  0.000
Cl  0.500  0.500  0.500

=====

Record 7
Material: NbAsPCl13
Method: DFT, PBE-GGA
State: optimized geometry

Summary:
For the total energy, the calculation gives -3.654 eV per atom.

Unit cell a=9.836 b=9.836 c=12.187 alpha=90.00 beta=90.00 gamma=113.80
Element x y z (fractional)
Nb  0.214  0.786  0.500
Nb  0.786  0.214  0.000
As  0.437  0.563  0.354
As  0.563  0.437  0.854
P  0.137  0.863  0.036
P  0.863  0.137  0.536
Cl  0.001  0.685  0.611
Cl  0.068  0.229  0.589
Cl  0.098  0.902  0.383
Cl  0.118  0.569  0.382
Cl  0.138  0.862  0.876
Cl  0.229  0.068  0.089
Cl  0.248  0.752  0.091
Cl  0.315  0.999  0.611
Cl  0.320  0.366  0.878
Cl  0.337  0.663  0.603
Cl  0.366  0.320  0.378
Cl  0.431  0.882  0.382
Cl  0.434  0.566  0.172
Cl  0.566  0.434  0.672
Cl  0.569  0.118  0.882
Cl  0.634  0.680  0.878
Cl  0.663  0.337  0.103
Cl  0.680  0.634  0.378
Cl  0.685  0.001  0.111
Cl  0.752  0.248  0.591
Cl  0.771  0.932  0.589
Cl  0.862  0.138  0.376
Cl  0.882  0.431  0.882
Cl  0.902  0.098  0.883
Cl  0.932  0.771  0.089
Cl  0.999  0.315  0.111

=====

Record 8
Material: Rb2NbAsCl6
Method: DFT, PBE-GGA
State: optimized geometry

Summary:
For the total energy, the calculation gives -3.882 eV per atom.

Unit cell a=7.961 b=7.961 c=7.961 alpha=126.74 beta=126.74 gamma=78.68
Element x y z (fractional)
Rb  0.250  0.750  0.500
Rb  0.750  0.250  0.500
Nb  0.000  0.000  0.000
As  0.500  0.500  0.000
Cl  0.204  0.204  0.000
Cl  0.249  0.249  0.499
Cl  0.249  0.751  0.000
Cl  0.751  0.249  0.000
Cl  0.751  0.751  0.501
Cl  0.796  0.796  0.000

=====

Record 9
Material: NbAsRhCl2
Method: DFT, PBE-GGA
State: optimized geometry

Summary:
For the total energy, the calculation gives -4.816 eV per atom.

Unit cell a=4.724 b=4.724 c=5.282 alpha=90.00 beta=90.00 gamma=90.00
Element x y z (fractional)
Nb  0.000  0.000  0.000
As  0.000  0.000  0.500
Rh  0.500  0.500  0.500
Cl  0.000  0.500  0.000
Cl  0.500  0.000  0.000

=====

Record 10
Material: NbAsRuCl2
Method: DFT, PBE-GGA
State: optimized geometry

Summary:
For the total energy, the calculation gives -4.895 eV per atom.

Unit cell a=4.535 b=4.535 c=5.174 alpha=90.00 beta=90.00 gamma=90.00
Element x y z (fractional)
Nb  0.000  0.000  0.000
As  0.500  0.500  0.000
Ru  0.000  0.000  0.500
Cl  0.000  0.500  0.500
Cl  0.500  0.000  0.500

=====

Record 11
Material: NbAs2SeCl
Method: DFT, PBE-GGA
State: optimized geometry

Summary:
The value obtained for the excess energy over the best structure of this formula in the dataset is 23.21 kcal/mol of atoms.

Unit cell a=4.726 b=4.726 c=4.943 alpha=90.00 beta=90.00 gamma=90.00
Element x y z (fractional)
Nb  0.000  0.000  0.000
As  0.000  0.500  0.500
As  0.500  0.000  0.500
Se  0.500  0.500  0.000
Cl  0.500  0.500  0.500

=====

Record 12
Material: NbAsSe2Cl
Method: DFT, PBE-GGA
State: optimized geometry

Summary:
The value obtained for the excess energy over the best structure of this formula in the dataset is 0.00 kcal/mol of atoms.

Unit cell a=4.947 b=4.947 c=5.208 alpha=90.00 beta=90.00 gamma=90.00
Element x y z (fractional)
Nb  0.000  0.000  0.000
As  0.000  0.000  0.500
Se  0.000  0.500  0.000
Se  0.500  0.000  0.000
Cl  0.500  0.500  0.500

=====

Record 13
Material: NbAsSe2Cl
Method: DFT, PBE-GGA
State: optimized geometry

Summary:
The value obtained for the excess energy over the best structure of this formula in the dataset is 25.08 kcal/mol of atoms.

Unit cell a=4.918 b=4.918 c=4.711 alpha=90.00 beta=90.00 gamma=90.00
Element x y z (fractional)
Nb  0.000  0.000  0.000
As  0.500  0.500  0.000
Se  0.000  0.500  0.500
Se  0.500  0.000  0.500
Cl  0.500  0.500  0.500

=====

Record 14
Material: NbAsSeCl2
Method: DFT, PBE-GGA
State: optimized geometry

Summary:
For the total energy, the calculation gives -4.488 eV per atom.

Unit cell a=4.660 b=4.660 c=5.504 alpha=90.00 beta=90.00 gamma=90.00
Element x y z (fractional)
Nb  0.000  0.000  0.000
As  0.000  0.000  0.500
Se  0.500  0.500  0.500
Cl  0.000  0.500  0.000
Cl  0.500  0.000  0.000

=====

Record 15
Material: NbAs2SeCl
Method: DFT, PBE-GGA
State: optimized geometry

Summary:
The value obtained for the excess energy over the best structure of this formula in the dataset is 0.00 kcal/mol of atoms.

Unit cell a=5.063 b=5.063 c=4.924 alpha=90.00 beta=90.00 gamma=90.00
Element x y z (fractional)
Nb  0.000  0.000  0.000
As  0.000  0.500  0.000
As  0.500  0.000  0.000
Se  0.000  0.000  0.500
Cl  0.500  0.500  0.500

=====

Record 16
Material: NbTlAsCl2
Method: DFT, PBE-GGA
State: optimized geometry

Summary:
For the total energy, the calculation gives -3.075 eV per atom.

Unit cell a=4.923 b=4.923 c=6.215 alpha=90.00 beta=90.00 gamma=90.00
Element x y z (fractional)
Nb  0.000  0.000  0.000
Tl  0.000  0.000  0.500
As  0.500  0.500  0.000
Cl  0.000  0.500  0.500
Cl  0.500  0.000  0.500

=====

Record 17
Material: NbZnAsCl2
Method: DFT, PBE-GGA
State: optimized geometry

Summary:
For the total energy, the calculation gives -3.527 eV per atom.

Unit cell a=4.327 b=4.327 c=8.134 alpha=90.00 beta=90.00 gamma=90.00
Element x y z (fractional)
Nb  0.000  0.000  0.000
Zn  0.000  0.000  0.500
As  0.500  0.500  0.000
Cl  0.000  0.500  0.500
Cl  0.500  0.000  0.500

=====

Record 18
Material: Nd6As5Cl
Method: DFT, PBE-GGA
State: optimized geometry

Summary:
For the total energy, the calculation gives -6.049 eV per atom.

Unit cell a=7.382 b=7.382 c=7.368 alpha=99.62 beta=99.62 gamma=119.92
Element x y z (fractional)
Nd  0.069  0.415  0.744
Nd  0.240  0.240  0.258
Nd  0.415  0.069  0.744
Nd  0.585  0.931  0.256
Nd  0.760  0.760  0.742
Nd  0.931  0.585  0.256
As  0.000  0.000  0.500
As  0.167  0.833  0.000
As  0.336  0.664  0.500
As  0.664  0.336  0.500
As  0.833  0.167  0.000
Cl  0.500  0.500  0.000

=====

Record 19
Material: Nd4AsCl5
Method: DFT, PBE-GGA
State: optimized geometry

Summary:
The value obtained for the excess energy over the best structure of this formula in the dataset is 0.00 kcal/mol of atoms.

Unit cell a=9.279 b=9.279 c=8.371 alpha=103.40 beta=103.40 gamma=25.53
Element x y z (fractional)
Nd  0.000  0.000  0.233
Nd  0.000  0.000  0.767
Nd  0.343  0.343  0.910
Nd  0.657  0.657  0.090
As  0.500  0.500  0.000
Cl  0.166  0.166  0.330
Cl  0.171  0.171  0.849
Cl  0.500  0.500  0.500
Cl  0.829  0.829  0.151
Cl  0.834  0.834  0.670

=====

Record 20
Material: Nd4AsCl5
Method: DFT, PBE-GGA
State: optimized geometry

Summary:
The value obtained for the excess energy over the best structure of this formula in the dataset is 4.44 kcal/mol of atoms.

Unit cell a=8.929 b=9.765 c=6.708 alpha=90.00 beta=90.00 gamma=90.00
Element x y z (fractional)
Nd  0.041  0.250  0.025
Nd  0.250  0.014  0.620
Nd  0.250  0.486  0.620
Nd  0.459  0.250  0.025
Nd  0.541  0.750  0.975
Nd  0.750  0.514  0.380
Nd  0.750  0.986  0.380
Nd  0.959  0.750  0.975
As  0.250  0.750  0.782
As  0.750  0.250  0.218
Cl  0.050  0.548  0.255
Cl  0.050  0.952  0.255
Cl  0.250  0.250  0.346
Cl  0.450  0.548  0.255
Cl  0.450  0.952  0.255
Cl  0.550  0.048  0.745
Cl  0.550  0.452  0.745
Cl  0.750  0.750  0.654
Cl  0.950  0.048  0.745
Cl  0.950  0.452  0.745